[1]
Here is a relaxed structure of MgVIO2 from Alexandria. Energies are from PBE with a Hubbard U.

Cell and atoms, written as CIF:
```
data_MgVIO2
_chemical_formula_sum 'Mg1 V1 I1 O2'
_cell_length_a 4.027
_cell_length_b 4.027
_cell_length_c 5.693
_cell_angle_alpha 90.00
_cell_angle_beta 90.00
_cell_angle_gamma 90.00
_space_group_name_H-M_alt 'P 1'
_space_group_IT_number 1
_space_group_name_Hall 'P 1'
loop_
_atom_site_label
_atom_site_type_symbol
_atom_site_fract_x
_atom_site_fract_y
_atom_site_fract_z
Mg1 Mg 0.000 0.000 0.000
V1 V 0.500 0.500 0.500
I1 I 0.000 0.000 0.500
O1 O 0.000 0.500 0.000
O2 O 0.500 0.000 0.000
```

## Properties
crystal system: tetragonal


[2]
Here is a relaxed structure of MgVIO2 from Alexandria. Energies are from PBE with a Hubbard U.

Cell and atoms, written as CIF:
```
data_MgVIO2
_chemical_formula_sum 'Mg1 V1 I1 O2'
_cell_length_a 3.938
_cell_length_b 3.938
_cell_length_c 5.602
_cell_angle_alpha 90.00
_cell_angle_beta 90.00
_cell_angle_gamma 90.00
_space_group_name_H-M_alt 'P 1'
_space_group_IT_number 1
_space_group_name_Hall 'P 1'
loop_
_atom_site_label
_atom_site_type_symbol
_atom_site_fract_x
_atom_site_fract_y
_atom_site_fract_z
Mg1 Mg 0.000 0.000 0.000
V1 V 0.500 0.500 0.500
I1 I 0.500 0.500 0.000
O1 O 0.000 0.500 0.500
O2 O 0.500 0.000 0.500
```

## Properties
crystal system: tetragonal


[3]
Here is a relaxed structure of MgWI2O from Alexandria. Energies are from PBE with a Hubbard U.

Cell and atoms, written as CIF:
```
data_MgWI2O
_chemical_formula_sum 'Mg1 W1 I2 O1'
_cell_length_a 5.484
_cell_length_b 5.484
_cell_length_c 6.494
_cell_angle_alpha 90.00
_cell_angle_beta 90.00
_cell_angle_gamma 90.00
_space_group_name_H-M_alt 'P 1'
_space_group_IT_number 1
_space_group_name_Hall 'P 1'
loop_
_atom_site_label
_atom_site_type_symbol
_atom_site_fract_x
_atom_site_fract_y
_atom_site_fract_z
Mg1 Mg 0.000 0.000 0.000
W1 W 0.000 0.000 0.500
I1 I 0.000 0.500 0.000
I2 I 0.500 0.000 0.000
O1 O 0.500 0.500 0.500
```

## Properties
crystal system: tetragonal


[4]
Here is a relaxed structure of MgWI2O from Alexandria. Energies are from PBE with a Hubbard U.

Cell and atoms, written as CIF:
```
data_MgWI2O
_chemical_formula_sum 'Mg1 W1 I2 O1'
_cell_length_a 5.821
_cell_length_b 5.821
_cell_length_c 3.786
_cell_angle_alpha 90.00
_cell_angle_beta 90.00
_cell_angle_gamma 90.00
_space_group_name_H-M_alt 'P 1'
_space_group_IT_number 1
_space_group_name_Hall 'P 1'
loop_
_atom_site_label
_atom_site_type_symbol
_atom_site_fract_x
_atom_site_fract_y
_atom_site_fract_z
Mg1 Mg 0.000 0.000 0.000
W1 W 0.500 0.500 0.500
I1 I 0.000 0.500 0.000
I2 I 0.500 0.000 0.000
O1 O 0.000 0.000 0.500
```

## Properties
crystal system: tetragonal


[5]
Here is a relaxed structure of MgWIO2 from Alexandria. Energies are from PBE with a Hubbard U.

Cell and atoms, written as CIF:
```
data_MgWIO2
_chemical_formula_sum 'Mg1 W1 I1 O2'
_cell_length_a 4.009
_cell_length_b 4.009
_cell_length_c 7.193
_cell_angle_alpha 90.00
_cell_angle_beta 90.00
_cell_angle_gamma 90.00
_space_group_name_H-M_alt 'P 1'
_space_group_IT_number 1
_space_group_name_Hall 'P 1'
loop_
_atom_site_label
_atom_site_type_symbol
_atom_site_fract_x
_atom_site_fract_y
_atom_site_fract_z
Mg1 Mg 0.000 0.000 0.000
W1 W 0.500 0.500 0.500
I1 I 0.500 0.500 0.000
O1 O 0.000 0.500 0.500
O2 O 0.500 0.000 0.500
```

## Properties
crystal system: tetragonal


[6]
Here is a relaxed structure of MgWI2O from Alexandria. Energies are from PBE with a Hubbard U.

Cell and atoms, written as CIF:
```
data_MgWI2O
_chemical_formula_sum 'Mg1 W1 I2 O1'
_cell_length_a 6.040
_cell_length_b 6.040
_cell_length_c 3.902
_cell_angle_alpha 90.00
_cell_angle_beta 90.00
_cell_angle_gamma 90.00
_space_group_name_H-M_alt 'P 1'
_space_group_IT_number 1
_space_group_name_Hall 'P 1'
loop_
_atom_site_label
_atom_site_type_symbol
_atom_site_fract_x
_atom_site_fract_y
_atom_site_fract_z
Mg1 Mg 0.000 0.000 0.000
W1 W 0.500 0.500 0.500
I1 I 0.000 0.500 0.500
I2 I 0.500 0.000 0.500
O1 O 0.500 0.500 0.000
```

## Properties
crystal system: tetragonal


[7]
Here is a relaxed structure of MgWIO2 from Alexandria. Energies are from PBE with a Hubbard U.

Cell and atoms, written as CIF:
```
data_MgWIO2
_chemical_formula_sum 'Mg1 W1 I1 O2'
_cell_length_a 4.114
_cell_length_b 4.114
_cell_length_c 5.539
_cell_angle_alpha 90.00
_cell_angle_beta 90.00
_cell_angle_gamma 90.00
_space_group_name_H-M_alt 'P 1'
_space_group_IT_number 1
_space_group_name_Hall 'P 1'
loop_
_atom_site_label
_atom_site_type_symbol
_atom_site_fract_x
_atom_site_fract_y
_atom_site_fract_z
Mg1 Mg 0.000 0.000 0.000
W1 W 0.500 0.500 0.500
I1 I 0.000 0.000 0.500
O1 O 0.000 0.500 0.000
O2 O 0.500 0.000 0.000
```

## Properties
crystal system: tetragonal


no.,M_tot (μB/f.u.),uncorrected energy (eV per formula unit),energy above the lowest structure with this stoichiometry (eV per formula unit)
1,2.0,-22.75,2.10
2,1.6,-24.85,0.00
3,3.6,-11.73,6.98
4,4.3,-17.20,1.51
5,2.3,-24.63,0.00
6,2.5,-18.71,0.00
7,3.0,-20.51,4.12